AcDyYTm | PBE-GGA | relaxed

a = 8.222 Å, b = 8.222 Å, c = 8.222 Å
α = 90.00°, β = 90.00°, γ = 90.00°
Positions (direct):
Ac: 0.000 0.000 0.000
Ac: 0.000 0.500 0.500
Ac: 0.500 0.000 0.500
Ac: 0.500 0.500 0.000
Dy: 0.000 0.000 0.500
Dy: 0.000 0.500 0.000
Dy: 0.500 0.000 0.000
Dy: 0.500 0.500 0.500
Y: 0.250 0.250 0.750
Y: 0.250 0.750 0.250
Y: 0.750 0.250 0.250
Y: 0.750 0.750 0.750
Tm: 0.250 0.250 0.250
Tm: 0.250 0.750 0.750
Tm: 0.750 0.250 0.750
Tm: 0.750 0.750 0.250

Summary:
Energy relative to the elements (eV per atom): 0.119
Fermi-level density of states (states/eV/cell): 24.503
ρ (g/cm³): 7.735

PmHo2P | PBE-GGA | relaxed

a = 3.730 Å, b = 3.730 Å, c = 30.600 Å
α = 90.00°, β = 90.00°, γ = 120.00°
Positions (direct):
Pm: 0.000 0.000 0.000
Pm: 0.333 0.667 0.667
Pm: 0.667 0.333 0.333
Ho: 0.000 0.000 0.114
Ho: 0.000 0.000 0.886
Ho: 0.333 0.667 0.553
Ho: 0.333 0.667 0.781
Ho: 0.667 0.333 0.219
Ho: 0.667 0.333 0.447
P: 0.000 0.000 0.500
P: 0.333 0.667 0.167
P: 0.667 0.333 0.833

Summary:
Energy relative to the elements (eV per atom): -0.530
Fermi-level density of states (states/eV/cell): 13.204
ρ (g/cm³): 6.833

LiAl5Pd3 | PBE-GGA | relaxed

a = 7.607 Å, b = 7.607 Å, c = 5.362 Å
α = 90.00°, β = 90.00°, γ = 120.00°
Positions (direct):
Li: 0.000 0.000 0.000
Li: 0.000 0.000 0.500
Al: 0.000 0.306 0.250
Al: 0.000 0.694 0.750
Al: 0.306 0.000 0.250
Al: 0.306 0.306 0.750
Al: 0.333 0.667 0.000
Al: 0.333 0.667 0.500
Al: 0.667 0.333 0.000
Al: 0.667 0.333 0.500
Al: 0.694 0.000 0.750
Al: 0.694 0.694 0.250
Pd: 0.000 0.361 0.750
Pd: 0.000 0.639 0.250
Pd: 0.361 0.000 0.750
Pd: 0.361 0.361 0.250
Pd: 0.639 0.000 0.250
Pd: 0.639 0.639 0.750

Summary:
Energy relative to the elements (eV per atom): -0.589
Fermi-level density of states (states/eV/cell): 4.678
ρ (g/cm³): 5.698

Cs2HfCdI6 | PBE-GGA | relaxed

a = 9.040 Å, b = 9.040 Å, c = 9.040 Å
α = 60.00°, β = 60.00°, γ = 60.00°
Positions (direct):
Cs: 0.250 0.250 0.250
Cs: 0.750 0.750 0.750
Hf: 0.000 0.000 0.000
Cd: 0.500 0.500 0.500
I: 0.224 0.224 0.776
I: 0.224 0.776 0.224
I: 0.224 0.776 0.776
I: 0.776 0.224 0.224
I: 0.776 0.224 0.776
I: 0.776 0.776 0.224

Summary:
Energy relative to the elements, uncorrected (meV/atom): -1008
Fermi-level density of states (states/eV/cell): 0.000
ρ (g/cm³): 4.190

LiHo2Hg8 | PBE-GGA | relaxed

a = 8.477 Å, b = 8.477 Å, c = 6.970 Å
α = 111.79°, β = 111.79°, γ = 34.03°
Positions (direct):
Li: 0.000 0.000 0.000
Ho: 0.299 0.299 0.321
Ho: 0.701 0.701 0.679
Hg: 0.118 0.118 0.410
Hg: 0.143 0.143 0.875
Hg: 0.335 0.335 0.823
Hg: 0.490 0.490 0.273
Hg: 0.510 0.510 0.727
Hg: 0.665 0.665 0.177
Hg: 0.857 0.857 0.125
Hg: 0.882 0.882 0.590

Summary:
Energy relative to the elements (eV per atom): -0.274
Fermi-level density of states (states/eV/cell): 4.909
ρ (g/cm³): 12.481

Th3OsSeN | PBE-GGA | relaxed

a = 8.692 Å, b = 4.062 Å, c = 9.081 Å
α = 90.00°, β = 99.78°, γ = 90.00°
Positions (direct):
Th: 0.055 0.250 0.333
Th: 0.319 0.250 0.976
Th: 0.384 0.750 0.644
Th: 0.616 0.250 0.356
Th: 0.681 0.750 0.024
Th: 0.945 0.750 0.667
Os: 0.166 0.250 0.649
Os: 0.834 0.750 0.351
Se: 0.320 0.750 0.267
Se: 0.680 0.250 0.733
N: 0.422 0.750 0.905
N: 0.578 0.250 0.095

Summary:
Energy relative to the elements, uncorrected (meV/atom): -1096
Fermi-level density of states (states/eV/cell): 7.178
ρ (g/cm³): 10.294

no.,total magnetization (μB/f.u.)
1,0.00
2,0.92
3,0.00
4,0.00
5,0.00
6,0.00